Entry 1:
! LiCaTa2 GGA-PBE optimized geometry; values from VASP
! DFT total energy: -6.16 eV per atom
! Energy of formation from the pure elements: 744 meV/atom
! DOS at the Fermi energy: 0.781 states/eV per atom
! Volume: 78.79 Å³/cell
&SYSTEM
  ibrav = 0, nat = 4, ntyp = 3
/
ATOMIC_SPECIES
Ca 40.08 Ca.upf
Ta 180.95 Ta.upf
Li 6.94 Li.upf
ATOMIC_POSITIONS crystal
Ca 0.5000 0.5000 0.2500
Ta 0.0000 0.0000 0.9691
Li 0.5000 0.5000 0.7500
Ta 0.0000 0.0000 0.5309
CELL_PARAMETERS angstrom
-2.0640 1.4967 -1.2067
-1.8480 -1.0561 1.8509
1.8620 7.5305 6.1557

Entry 2:
! LiCaTa2 GGA-PBE optimized geometry; values from VASP
! DFT total energy: -6.35 eV per atom
! Energy of formation from the pure elements: 556 meV/atom
! DOS at the Fermi energy: 0.941 states/eV per atom
! Volume: 82.26 Å³/cell
&SYSTEM
  ibrav = 0, nat = 4, ntyp = 3
/
ATOMIC_SPECIES
Ca 40.08 Ca.upf
Ta 180.95 Ta.upf
Li 6.94 Li.upf
ATOMIC_POSITIONS crystal
Ca 0.5000 0.0000 0.5000
Ta 0.5000 0.5000 0.0000
Ta 0.0000 0.0000 0.0000
Li 0.0000 0.5000 0.5000
CELL_PARAMETERS angstrom
-2.5006 -0.3494 -1.9503
-2.8101 -0.3520 3.6660
-0.7408 5.5158 -0.0383

Q: The highest volume belongs to which entry?
A: number 2